A relaxed structure of SiTc3, computed with GGA-PBE.

Properties
As for the raw formation energy: -3 kJ/mol of atoms. Its symmetry is Cmmm (65). As for the density of states at the Fermi level: 0.660 states/eV/atom. For the energy above the lowest structure with this stoichiometry, the calculation gives 232 meV per atom.

Cell: 4.6979 4.6979 2.8515 Å, 90.00 90.00 115.32°
Atoms (fractional coordinates):
Si  0.0000  0.0000  0.0000
Tc  0.0000  0.5000  0.5000
Tc  0.5000  0.0000  0.5000
Tc  0.5000  0.5000  0.0000